w) {"formula": "AcLa3Tb7", "functional": "PBE", "state": "optimized geometry", "n_ef_per_ev_fu": 17.00, "total_magnetization_mub_per_fu": 0.00, "volume_a3_per_fu": 393, "cell": [[6.575, 0.005, 0.428], [0.412, 7.694, 1.142], [-0.014, 0.089, 7.791]], "species": ["Ac", "La", "La", "La", "Tb", "Tb", "Tb", "Tb", "Tb", "Tb", "Tb"], "fractional_positions": [[0.500, 0.500, 0.500], [0.000, 0.820, 0.180], [0.500, 0.000, 0.000], [0.000, 0.180, 0.820], [0.799, 0.235, 0.235], [0.741, 0.917, 0.574], [0.259, 0.426, 0.083], [0.741, 0.574, 0.917], [0.000, 0.500, 0.500], [0.259, 0.083, 0.426], [0.201, 0.765, 0.765]]}


x) {"formula": "AcLa3Tb7", "functional": "PBE", "state": "optimized geometry", "n_ef_per_ev_fu": 18.17, "total_magnetization_mub_per_fu": 0.00, "volume_a3_per_fu": 400, "cell": [[8.925, 0.000, 0.000], [0.000, 7.193, 0.000], [0.000, -3.597, 6.229]], "species": ["Ac", "La", "La", "La", "Tb", "Tb", "Tb", "Tb", "Tb", "Tb", "Tb"], "fractional_positions": [[0.443, 0.333, 0.667], [0.787, 0.501, 0.499], [0.787, 0.501, 0.001], [0.787, 0.999, 0.499], [0.119, 0.166, 0.834], [0.119, 0.166, 0.332], [0.125, 0.667, 0.333], [0.443, 0.832, 0.168], [0.443, 0.335, 0.168], [0.443, 0.832, 0.665], [0.119, 0.668, 0.834]]}


The energy of each structure relative to the most stable one, in meV per atom, is as follows: w) 17; x) 0.


w) {"formula": "Ac3LaTb", "functional": "PBE", "state": "optimized geometry", "n_ef_per_ev_fu": 9.35, "total_magnetization_mub_per_fu": 0.00, "volume_a3_per_fu": 204, "cell": [[3.878, 0.000, 0.000], [0.000, 10.801, 1.326], [-1.939, 1.426, 9.901]], "species": ["Ac", "Ac", "Ac", "Ac", "Ac", "Ac", "La", "La", "Tb", "Tb"], "fractional_positions": [[0.999, 0.740, 0.998], [0.001, 0.260, 0.002], [0.397, 0.044, 0.795], [0.603, 0.956, 0.205], [0.203, 0.653, 0.405], [0.797, 0.347, 0.595], [0.603, 0.445, 0.206], [0.397, 0.555, 0.794], [0.798, 0.854, 0.596], [0.202, 0.146, 0.404]]}


x) {"formula": "Ac3LaTb", "functional": "PBE", "state": "optimized geometry", "n_ef_per_ev_fu": 7.52, "total_magnetization_mub_per_fu": 0.00, "volume_a3_per_fu": 209, "cell": [[-0.660, 5.783, 3.226], [-9.478, -0.811, -0.484], [-0.038, -6.437, 11.531]], "species": ["Ac", "Ac", "Ac", "Ac", "Ac", "Ac", "Ac", "Ac", "Ac", "Ac", "Ac", "Ac", "La", "La", "La", "La", "Tb", "Tb", "Tb", "Tb"], "fractional_positions": [[0.582, 0.329, 0.426], [0.082, 0.329, 0.574], [0.628, 0.250, 0.750], [0.128, 0.250, 0.250], [0.582, 0.171, 0.074], [0.082, 0.171, 0.926], [0.918, 0.829, 0.074], [0.418, 0.829, 0.926], [0.872, 0.750, 0.750], [0.372, 0.750, 0.250], [0.918, 0.671, 0.426], [0.418, 0.671, 0.574], [0.250, 0.000, 0.442], [0.750, 0.000, 0.558], [0.250, 0.500, 0.058], [0.750, 0.500, 0.942], [0.750, 0.000, 0.305], [0.250, 0.000, 0.695], [0.250, 0.500, 0.805], [0.750, 0.500, 0.195]]}


The energy of each structure relative to the most stable one, in meV per atom, is as follows: w) 0; x) 123.


w) {"formula": "AcLaTbTl", "functional": "PBE", "state": "optimized geometry", "n_ef_per_ev_fu": 7.15, "total_magnetization_mub_per_fu": 0.00, "volume_a3_per_fu": 133, "cell": [[-4.352, 3.710, 0.345], [-4.244, -0.903, 3.741], [-0.530, 3.373, 4.600]], "species": ["Ac", "Tb", "Tl", "La"], "fractional_positions": [[0.500, 0.500, 0.500], [0.250, 0.250, 0.250], [0.000, 0.000, 0.000], [0.750, 0.750, 0.750]]}


x) {"formula": "AcLaTbTl", "functional": "PBE", "state": "optimized geometry", "n_ef_per_ev_fu": 7.45, "total_magnetization_mub_per_fu": 0.62, "volume_a3_per_fu": 137, "cell": [[5.791, 0.000, 0.000], [2.895, 5.015, 0.000], [2.895, 1.672, 4.728]], "species": ["Ac", "Tb", "Tl", "La"], "fractional_positions": [[0.250, 0.250, 0.250], [0.500, 0.500, 0.500], [0.000, 0.000, 0.000], [0.750, 0.750, 0.750]]}


The energy of each structure relative to the most stable one, in meV per atom, is as follows: w) 35; x) 0.


w) {"formula": "AcLaTbY", "functional": "PBE", "state": "optimized geometry", "n_ef_per_ev_fu": 7.20, "total_magnetization_mub_per_fu": 0.00, "volume_a3_per_fu": 146, "cell": [[3.739, 0.000, 0.005], [0.000, 3.739, -0.005], [-0.014, 0.014, 10.430]], "species": ["Ac", "La", "Tb", "Y"], "fractional_positions": [[0.146, 0.854, 0.726], [0.646, 0.354, 0.460], [0.146, 0.854, 0.215], [0.646, 0.354, 0.987]]}


x) {"formula": "AcLaTbY", "functional": "PBE", "state": "optimized geometry", "n_ef_per_ev_fu": 7.01, "total_magnetization_mub_per_fu": 0.00, "volume_a3_per_fu": 146, "cell": [[-4.197, -1.440, -3.914], [-4.700, -3.152, 1.727], [-5.328, 2.555, 0.301]], "species": ["Y", "Ac", "Tb", "La"], "fractional_positions": [[0.750, 0.750, 0.750], [0.500, 0.500, 0.500], [0.250, 0.250, 0.250], [0.000, 0.000, 0.000]]}


The energy of each structure relative to the most stable one, in meV per atom, is as follows: w) 0; x) 45.


w) {"formula": "Ac2LaTc", "functional": "PBE", "state": "optimized geometry", "n_ef_per_ev_fu": 3.02, "total_magnetization_mub_per_fu": 0.00, "volume_a3_per_fu": 139, "cell": [[4.084, -0.586, 0.000], [-1.105, 6.803, 0.000], [0.000, 0.000, 10.251]], "species": ["Ac", "Ac", "Ac", "Ac", "La", "La", "Tc", "Tc"], "fractional_positions": [[0.356, 0.713, 0.075], [0.644, 0.287, 0.925], [0.644, 0.287, 0.575], [0.356, 0.713, 0.425], [0.096, 0.191, 0.250], [0.904, 0.809, 0.750], [0.732, 0.462, 0.250], [0.268, 0.538, 0.750]]}


x) {"formula": "Ac2LaTc", "functional": "PBE", "state": "optimized geometry", "n_ef_per_ev_fu": 6.42, "total_magnetization_mub_per_fu": 0.00, "volume_a3_per_fu": 137, "cell": [[3.894, 0.000, 0.000], [1.947, 3.372, 0.000], [1.947, 1.124, 10.421]], "species": ["Ac", "Ac", "Tc", "La"], "fractional_positions": [[0.269, 0.269, 0.192], [0.731, 0.731, 0.808], [0.000, 0.000, 0.000], [0.500, 0.500, 0.500]]}


The energy of each structure relative to the most stable one, in meV per atom, is as follows: w) 0; x) 337.


w) {"formula": "Ac3LaTc", "functional": "PBE", "state": "optimized geometry", "n_ef_per_ev_fu": 6.96, "total_magnetization_mub_per_fu": 0.00, "volume_a3_per_fu": 194, "cell": [[5.790, 0.000, 0.000], [0.000, 5.790, 0.000], [0.000, 0.000, 5.790]], "species": ["Ac", "Ac", "Ac", "Tc", "La"], "fractional_positions": [[0.000, 0.500, 0.000], [0.000, 0.000, 0.500], [0.500, 0.000, 0.000], [0.000, 0.000, 0.000], [0.500, 0.500, 0.500]]}


x) {"formula": "Ac3LaTc", "functional": "PBE", "state": "optimized geometry", "n_ef_per_ev_fu": 4.71, "total_magnetization_mub_per_fu": 0.00, "volume_a3_per_fu": 194, "cell": [[7.297, 0.220, -3.330], [-4.195, 6.710, -1.328], [-0.260, -0.220, 8.016]], "species": ["Ac", "Ac", "Ac", "Ac", "Ac", "Ac", "La", "La", "Tc", "Tc"], "fractional_positions": [[0.968, 0.686, 0.218], [0.968, 0.250, 0.782], [0.468, 0.186, 0.218], [0.991, 0.218, 0.273], [0.468, 0.750, 0.782], [0.945, 0.718, 0.727], [0.508, 0.718, 0.290], [0.428, 0.218, 0.710], [0.468, 0.468, 0.500], [0.968, 0.968, 0.500]]}


The energy of each structure relative to the most stable one, in meV per atom, is as follows: w) 110; x) 0.